Record 1
# MnInO4 (PBE+U, relaxed)
data_MnInO4
_chemical_formula_sum 'Mn2 In2 O8'
_symmetry_space_group_name_H-M 'P 1'
_symmetry_Int_Tables_number 1
_cell_length_a 5.732
_cell_length_b 6.987
_cell_length_c 5.367
_cell_angle_alpha 116.29
_cell_angle_beta 106.28
_cell_angle_gamma 112.93
loop_
_symmetry_equiv_pos_as_xyz
'x,y,z'
loop_
_atom_site_label
_atom_site_type_symbol
_atom_site_fract_x
_atom_site_fract_y
_atom_site_fract_z
Mn1 Mn 0.234 0.984 0.967
Mn2 Mn 0.766 0.016 0.033
In1 In 0.368 0.618 0.236
In2 In 0.632 0.382 0.764
O1 O 0.905 0.311 0.032
O2 O 0.813 0.830 0.685
O3 O 0.627 0.721 0.032
O4 O 0.372 0.855 0.685
O5 O 0.628 0.145 0.315
O6 O 0.373 0.279 0.968
O7 O 0.187 0.170 0.315
O8 O 0.095 0.689 0.968
# Space-group type: No. 15
# Calculated volume in Å³/atom: 12.4
# Energy in eV/atom: -6.1083

Record 2
# Mn2InO3 (PBE+U, relaxed)
data_Mn2InO3
_chemical_formula_sum 'Mn4 In2 O6'
_symmetry_space_group_name_H-M 'P 1'
_symmetry_Int_Tables_number 1
_cell_length_a 4.599
_cell_length_b 6.592
_cell_length_c 5.792
_cell_angle_alpha 106.52
_cell_angle_beta 113.39
_cell_angle_gamma 90.00
loop_
_symmetry_equiv_pos_as_xyz
'x,y,z'
loop_
_atom_site_label
_atom_site_type_symbol
_atom_site_fract_x
_atom_site_fract_y
_atom_site_fract_z
Mn1 Mn 0.669 0.584 0.338
Mn2 Mn 0.669 0.084 0.338
Mn3 Mn 0.331 0.916 0.662
Mn4 Mn 0.331 0.416 0.662
In1 In 0.000 0.750 0.000
In2 In 0.000 0.250 0.000
O1 O 0.500 0.250 0.000
O2 O 0.500 0.750 0.000
O3 O 0.185 0.093 0.370
O4 O 0.815 0.407 0.630
O5 O 0.185 0.593 0.370
O6 O 0.815 0.907 0.630
# Space-group type: No. 71
# Calculated volume in Å³/atom: 12.8
# Energy in eV/atom: -6.7561

Record 3
# Mn11In25O48 (PBE+U, relaxed)
data_Mn11In25O48
_chemical_formula_sum 'Mn11 In25 O48'
_symmetry_space_group_name_H-M 'P 1'
_symmetry_Int_Tables_number 1
_cell_length_a 11.257
_cell_length_b 11.257
_cell_length_c 11.256
_cell_angle_alpha 80.42
_cell_angle_beta 80.42
_cell_angle_gamma 120.01
loop_
_symmetry_equiv_pos_as_xyz
'x,y,z'
loop_
_atom_site_label
_atom_site_type_symbol
_atom_site_fract_x
_atom_site_fract_y
_atom_site_fract_z
Mn1 Mn 0.167 0.500 0.500
Mn2 Mn 0.542 0.875 0.375
Mn3 Mn 0.042 0.375 0.875
Mn4 Mn 0.834 0.834 0.500
Mn5 Mn 0.334 0.334 0.000
Mn6 Mn 0.500 0.167 0.500
Mn7 Mn 0.000 0.667 0.999
Mn8 Mn 0.708 0.708 0.875
Mn9 Mn 0.375 0.042 0.875
Mn10 Mn 0.875 0.542 0.375
Mn11 Mn 0.667 0.000 0.999
In1 In 0.103 0.936 0.186
In2 In 0.104 0.440 0.186
In3 In 0.208 0.208 0.375
In4 In 0.438 0.607 0.186
In5 In 0.104 0.935 0.689
In6 In 0.271 0.771 0.187
In7 In 0.607 0.438 0.186
In8 In 0.523 0.523 0.439
In9 In 0.021 0.021 0.937
In10 In 0.272 0.272 0.690
In11 In 0.771 0.771 0.187
In12 In 0.187 0.851 0.439
In13 In 0.440 0.104 0.186
In14 In 0.605 0.438 0.688
In15 In 0.438 0.605 0.688
In16 In 0.271 0.770 0.688
In17 In 0.936 0.103 0.186
In18 In 0.771 0.271 0.187
In19 In 0.604 0.937 0.688
In20 In 0.354 0.688 0.937
In21 In 0.851 0.187 0.439
In22 In 0.935 0.104 0.689
In23 In 0.770 0.271 0.688
In24 In 0.688 0.354 0.937
In25 In 0.937 0.604 0.688
O1 O 0.132 0.132 0.067
O2 O 0.231 0.052 0.308
O3 O 0.052 0.231 0.308
O4 O 0.157 0.646 0.066
O5 O 0.311 0.490 0.068
O6 O 0.490 0.311 0.068
O7 O 0.466 0.800 0.066
O8 O 0.234 0.567 0.299
O9 O 0.409 0.409 0.308
O10 O 0.141 0.141 0.576
O11 O 0.641 0.641 0.076
O12 O 0.076 0.743 0.308
O13 O 0.308 0.975 0.076
O14 O 0.219 0.064 0.808
O15 O 0.064 0.219 0.808
O16 O 0.718 0.564 0.308
O17 O 0.564 0.718 0.308
O18 O 0.385 0.898 0.308
O19 O 0.822 0.977 0.066
O20 O 0.977 0.822 0.066
O21 O 0.477 0.323 0.567
O22 O 0.646 0.157 0.066
O23 O 0.323 0.477 0.567
O24 O 0.144 0.655 0.568
O25 O 0.299 0.966 0.567
O26 O 0.901 0.901 0.299
O27 O 0.401 0.401 0.800
O28 O 0.567 0.234 0.299
O29 O 0.633 0.633 0.568
O30 O 0.800 0.466 0.066
O31 O 0.067 0.732 0.799
O32 O 0.975 0.308 0.076
O33 O 0.243 0.576 0.808
O34 O 0.743 0.076 0.308
O35 O 0.475 0.808 0.576
O36 O 0.731 0.552 0.808
O37 O 0.898 0.385 0.308
O38 O 0.397 0.886 0.808
O39 O 0.552 0.731 0.808
O40 O 0.990 0.811 0.567
O41 O 0.655 0.144 0.568
O42 O 0.811 0.990 0.567
O43 O 0.732 0.067 0.799
O44 O 0.966 0.299 0.567
O45 O 0.909 0.909 0.807
O46 O 0.808 0.475 0.576
O47 O 0.576 0.243 0.808
O48 O 0.886 0.397 0.808
# Space-group type: No. 8
# Calculated volume in Å³/atom: 13.9
# Energy in eV/atom: -6.2230

Record 4
# Mn4InO8 (PBE+U, relaxed)
data_Mn4InO8
_chemical_formula_sum 'Mn4 In1 O8'
_symmetry_space_group_name_H-M 'P 1'
_symmetry_Int_Tables_number 1
_cell_length_a 6.162
_cell_length_b 5.804
_cell_length_c 5.805
_cell_angle_alpha 104.62
_cell_angle_beta 104.46
_cell_angle_gamma 117.75
loop_
_symmetry_equiv_pos_as_xyz
'x,y,z'
loop_
_atom_site_label
_atom_site_type_symbol
_atom_site_fract_x
_atom_site_fract_y
_atom_site_fract_z
Mn1 Mn 0.243 0.249 0.011
Mn2 Mn 0.757 0.751 0.989
Mn3 Mn 0.290 0.789 0.071
Mn4 Mn 0.710 0.211 0.929
In1 In 0.000 0.500 0.500
O1 O 0.716 0.049 0.200
O2 O 0.195 0.528 0.235
O3 O 0.687 0.498 0.173
O4 O 0.176 0.023 0.211
O5 O 0.824 0.977 0.789
O6 O 0.313 0.502 0.827
O7 O 0.805 0.472 0.765
O8 O 0.284 0.951 0.800
# Space-group type: No. 2
# Calculated volume in Å³/atom: 12.4
# Energy in eV/atom: -6.9901